# MnGa2PdO (GGA+U, relaxed)
# V   84.9 Å³ per cell
# D(E_F)   0.260 states/eV per atom
# Electronic total energy   -5.14 eV/atom
# Symmetry   No. 123
data_MnGa2PdO
_symmetry_space_group_name_H-M 'P 1'
_symmetry_Int_Tables_number 1
_cell_length_a 4.6360
_cell_length_b 4.6360
_cell_length_c 3.9509
_cell_angle_alpha 90.00
_cell_angle_beta 90.00
_cell_angle_gamma 90.00
loop_
_symmetry_equiv_pos_as_xyz
'x,y,z'
loop_
_atom_site_label
_atom_site_type_symbol
_atom_site_fract_x
_atom_site_fract_y
_atom_site_fract_z
Mn1 Mn 0.0000 0.0000 0.0000
Ga1 Ga 0.0000 0.5000 0.5000
Ga2 Ga 0.5000 0.0000 0.5000
Pd1 Pd 0.5000 0.5000 0.0000
O1 O 0.0000 0.0000 0.5000